A plane-wave DFT calculation with GGA-PBE was carried out for a relaxed structure of Sr2CoW.

The calculation puts the density of states at the Fermi level at 10.59 states/eV per cell. As for the calculated total energy: -41.14 eV/cell.

The structure belongs to space group Imm2 (No. 44); the cell edges are 3.659, 5.337 and 11.129 Å and the angles 90.00°, 90.00° and 90.00°. The distinct sites, in fractional coordinates, are Sr at (0.000, 0.000, 0.000), Sr at (0.000, 0.500, 0.213), Co at (0.000, 0.000, 0.429) and W at (0.000, 0.500, 0.810).